No. 1
First-principles (PBE) data for a relaxed Cs2SbPb crystal, as listed in the Alexandria database.

```
Cs2SbPb
1.0
-0.540 6.638 3.259
-2.857 -0.056 -3.592
-1.640 -5.789 4.333
Cs Sb Pb
2 1 1
Cartesian
-1.035 -0.999 1.521
-3.335 1.859 3.308
-2.166 2.315 -0.565
-2.213 -1.563 5.403
```

Fermi-level density of states   2.82 states/eV/cell
Energy relative to the lowest polymorph listed for this composition   0 meV per atom
Formation energy from raw total energies   -0.3361 eV per atom
VASP energy   -10.88 eV/cell

No. 2
First-principles (PBE) data for a relaxed PmSnH crystal, as listed in the Alexandria database.

```
PmSnH
1.0
4.290 0.000 0.000
0.000 4.392 0.165
-2.145 -0.234 6.204
Pm Sn H
2 2 2
Cartesian
2.138 3.221 2.073
0.006 0.938 4.297
2.156 3.094 5.424
-0.011 1.064 0.945
0.001 3.179 3.171
2.144 0.979 3.199
```

Fermi-level density of states   1.00 states/eV/cell
Energy relative to the lowest polymorph listed for this composition   0 meV per atom
VASP energy   -28.14 eV/cell

No. 3
First-principles (PBE) data for a relaxed Np3Tl2Se6 crystal, as listed in the Alexandria database.

```
Np3Tl2Se6
1.0
-0.598 7.138 1.244
-5.829 2.602 3.514
3.495 1.506 7.189
Np Tl Se
3 2 6
Cartesian
0.000 0.000 0.000
-2.136 3.248 1.582
-4.292 6.492 3.176
-2.238 3.677 6.144
-0.694 7.569 5.802
-1.309 5.808 8.571
2.351 6.423 6.645
0.784 2.552 7.011
0.546 2.221 1.788
-1.622 5.439 3.375
-3.715 8.694 4.935
```

Fermi-level density of states   26.89 states/eV/cell
Formation energy from raw total energies   -0.9404 eV per atom
VASP energy   -74.81 eV/cell

Question: What is the Fermi-level density of states in the third record?
Answer: 26.89 states/eV/cell

What did the second record say?
First-principles (PBE) data for a relaxed PmSnH crystal, as listed in the Alexandria database.

```
PmSnH
1.0
4.290 0.000 0.000
0.000 4.392 0.165
-2.145 -0.234 6.204
Pm Sn H
2 2 2
Cartesian
2.138 3.221 2.073
0.006 0.938 4.297
2.156 3.094 5.424
-0.011 1.064 0.945
0.001 3.179 3.171
2.144 0.979 3.199
```

Fermi-level density of states   1.00 states/eV/cell
Energy relative to the lowest polymorph listed for this composition   0 meV per atom
VASP energy   -28.14 eV/cell